TiHg2Ir PBE-GGA optimized geometry; symmetry = No. 225; relative energy among the computed polymorphs = 0.0 meV per atom
1.0
3.911 -2.402 0.713
-0.008 -4.627 -0.410
2.170 -2.019 -3.577
Ir Hg Ti
1 2 1
direct
0.500 0.500 0.500
0.250 0.250 0.250
0.750 0.750 0.750
0.000 0.000 0.000

AcAgPO4 PBE-GGA optimized geometry; symmetry = No. 74; uncorrected formation energy = -2.196 eV/atom
1.0
-5.063 -1.229 2.331
0.288 -3.845 5.585
-1.877 4.101 5.072
Ac O P Ag
2 8 2 2
direct
0.000 0.000 0.000
0.000 0.500 0.500
0.307 0.719 0.219
0.278 0.631 0.814
0.722 0.369 0.186
0.693 0.281 0.781
0.246 0.281 0.781
0.722 0.686 0.869
0.754 0.719 0.219
0.278 0.314 0.131
0.634 0.616 0.116
0.366 0.384 0.884
0.500 0.000 0.500
0.000 0.000 0.500

Mg3NpO6 PBE-GGA optimized geometry; symmetry = No. 148; uncorrected formation energy = -2.718 eV/atom
1.0
6.257 0.013 -0.124
-0.126 6.256 -0.124
0.012 0.013 6.258
O Mg Np
12 6 2
direct
0.689 0.081 0.924
0.544 0.399 0.188
0.924 0.689 0.081
0.919 0.076 0.311
0.076 0.311 0.919
0.188 0.544 0.399
0.311 0.919 0.076
0.812 0.456 0.601
0.601 0.812 0.456
0.081 0.924 0.689
0.399 0.188 0.544
0.456 0.601 0.812
0.751 0.444 0.938
0.444 0.938 0.751
0.249 0.556 0.062
0.556 0.062 0.249
0.062 0.249 0.556
0.938 0.751 0.444
0.000 0.000 0.000
0.500 0.500 0.500

SmDy2TmSc PBE-GGA optimized geometry; symmetry = No. 63; energy = -46.0 eV for the cell shown
1.0
-1.810 -5.152 -4.489
7.462 -3.224 0.691
-5.481 -1.517 3.951
Sc Sm Dy Tm
2 2 4 2
direct
0.250 0.996 0.992
0.750 0.004 0.008
0.250 0.731 0.461
0.750 0.269 0.539
0.000 0.303 0.000
0.500 0.697 0.000
0.500 0.303 0.000
0.000 0.697 0.000
0.750 0.732 0.464
0.250 0.268 0.536

| no. | spin magnetization (μB per formula unit) |
| --- | --- |
| 1 | 0.00 |
| 2 | 0.00 |
| 3 | 1.00 |
| 4 | 0.00 |